VASP calculation (PBE) on an optimized crystal structure of Pm2SiPd5.

Output
* space-group type: P4/mmm
* density: 8.4 g/cm3
* volume: 20.98 Å³ per atom
* formation energy from raw total energies: -5.37 eV per formula unit

Lattice parameters (Å, degrees): 6.0253 6.0253 4.6240 90.00 90.00 90.00
Closest atoms and distances in Å follow each position.
Atoms (fractional coordinates):
Pm 0.0000 0.5000 0.0000  10 Pd 3.01-3.15
Pm 0.5000 0.0000 0.0000  10 Pd 3.01-3.15
Si 0.0000 0.0000 0.5000  6 Pd 2.31-2.34
Pd 0.0000 0.0000 0.0000  2 Si 2.31
Pd 0.2743 0.2743 0.5000  1 Si 2.34
Pd 0.2743 0.7257 0.5000  1 Si 2.34
Pd 0.7257 0.2743 0.5000  1 Si 2.34
Pd 0.7257 0.7257 0.5000  1 Si 2.34


VASP calculation (PBE) on an optimized crystal structure of La8PmDy4.

Output
* space-group type: R-3m
* density: 6.2 g/cm3
* volume: 39.09 Å³ per atom
* E_tot: -4.390 eV per atom

Lattice parameters (Å, degrees): 7.9814 7.9814 7.9814 91.01 91.01 91.01
Closest atoms and distances in Å follow each position.
Atoms (fractional coordinates):
La 0.2346 0.2346 0.7549  4 Dy 3.31-3.51, 1 Pm 3.64
La 0.2346 0.7549 0.2346  4 Dy 3.31-3.51, 1 Pm 3.64
La 0.2367 0.2367 0.2367  4 Dy 3.21-3.54, 1 Pm 3.58
La 0.2451 0.7654 0.7654  4 Dy 3.31-3.51, 1 Pm 3.64
La 0.7549 0.2346 0.2346  4 Dy 3.31-3.51, 1 Pm 3.64
La 0.7633 0.7633 0.7633  4 Dy 3.21-3.54, 1 Pm 3.58
La 0.7654 0.2451 0.7654  4 Dy 3.31-3.51, 1 Pm 3.64
La 0.7654 0.7654 0.2451  4 Dy 3.31-3.51, 1 Pm 3.64
Pm 0.5000 0.5000 0.5000  8 La 3.58-3.64, 6 Dy 3.99
Dy 0.0000 0.0000 0.0000  8 La 3.21-3.31
Dy 0.0000 0.5000 0.5000  8 La 3.51-3.54
Dy 0.5000 0.0000 0.5000  8 La 3.51-3.54
Dy 0.5000 0.5000 0.0000  8 La 3.51-3.54


VASP calculation (PBE) on an optimized crystal structure of Tb8NdC4.

Output
* space-group type: C2/m
* density: 8.0 g/cm3
* volume: 23.50 Å³ per atom
* E_tot: -6.209 eV per atom

Lattice parameters (Å, degrees): 9.2734 9.2734 12.5161 131.18 131.18 22.52
Closest atoms and distances in Å follow each position.
Atoms (fractional coordinates):
Tb 0.0411 0.0411 0.2314  3 C 2.51-2.58
Tb 0.2935 0.2935 0.4356  3 C 2.49-2.55
Tb 0.3352 0.3352 0.1514  3 C 2.49-2.50
Tb 0.3612 0.3612 0.9025  3 C 2.51-2.55
Tb 0.6388 0.6388 0.0975  3 C 2.51-2.55
Tb 0.6648 0.6648 0.8486  3 C 2.49-2.50
Tb 0.7065 0.7065 0.5644  3 C 2.49-2.55
Tb 0.9589 0.9589 0.7686  3 C 2.51-2.58
Nd 0.0000 0.0000 0.5000  2 Nd 3.62, 10 Tb 3.71-3.90
C 0.1495 0.1495 0.9692  6 Tb 2.49-2.58
C 0.3327 0.3327 0.6734  6 Tb 2.49-2.55
C 0.6673 0.6673 0.3266  6 Tb 2.49-2.55
C 0.8505 0.8505 0.0308  6 Tb 2.49-2.58


VASP calculation (PBE) on an optimized crystal structure of Ba2Sr3P3.

Output
* space-group type: P6_3/mcm
* density: 3.9 g/cm3
* volume: 33.52 Å³ per atom
* E_tot: -4.077 eV per atom

Lattice parameters (Å, degrees): 8.9742 8.9742 7.6895 90.00 90.00 120.00
Closest atoms and distances in Å follow each position.
Atoms (fractional coordinates):
Ba 0.3333 0.6667 0.0000  6 P 3.38
Ba 0.3333 0.6667 0.5000  6 P 3.38
Ba 0.6667 0.3333 0.0000  6 P 3.38
Ba 0.6667 0.3333 0.5000  6 P 3.38
Sr 0.0000 0.2567 0.2500  3 P 3.07-3.19
Sr 0.0000 0.7433 0.7500  3 P 3.07-3.19
Sr 0.2567 0.0000 0.2500  3 P 3.07-3.19
Sr 0.2567 0.2567 0.7500  3 P 3.07-3.19
Sr 0.7433 0.0000 0.7500  3 P 3.07-3.19
Sr 0.7433 0.7433 0.2500  3 P 3.07-3.19
P 0.0000 0.3883 0.7500  3 Sr 3.07-3.19, 4 Ba 3.38
P 0.0000 0.6117 0.2500  3 Sr 3.07-3.19, 4 Ba 3.38
P 0.3883 0.0000 0.7500  3 Sr 3.07-3.19, 4 Ba 3.38
P 0.3883 0.3883 0.2500  3 Sr 3.07-3.19, 4 Ba 3.38
P 0.6117 0.0000 0.2500  3 Sr 3.07-3.19, 4 Ba 3.38
P 0.6117 0.6117 0.7500  3 Sr 3.07-3.19, 4 Ba 3.38


VASP calculation (PBE) on an optimized crystal structure of NaInIBr.

Output
* space-group type: F-43m
* density: 4.4 g/cm3
* volume: 32.76 Å³ per atom
* relative energy among the computed polymorphs: 69.8 meV/atom
* formation energy from raw total energies: -3.42 eV per formula unit

Lattice parameters (Å, degrees): 5.7015 5.7015 5.7015 60.00 60.00 60.00
Closest atoms and distances in Å follow each position.
Atoms (fractional coordinates):
Na 0.0000 0.0000 0.0000  4 Br 3.49, 4 I 3.49
In 0.5000 0.5000 0.5000  4 Br 3.49, 4 I 3.49
I 0.2500 0.2500 0.2500  4 In 3.49, 4 Na 3.49
Br 0.7500 0.7500 0.7500  4 In 3.49, 4 Na 3.49


VASP calculation (PBE) on an optimized crystal structure of Sr2YPtCl.

Output
* space-group type: P4/mmm
* density: 3.9 g/cm3
* volume: 42.63 Å³ per atom
* formation energy from raw total energies: 1.30 eV per formula unit

Lattice parameters (Å, degrees): 6.5392 6.5392 4.9842 90.00 90.00 90.00
Closest atoms and distances in Å follow each position.
Atoms (fractional coordinates):
Sr 0.0000 0.5000 0.0000  2 Y 3.27
Sr 0.5000 0.0000 0.0000  2 Y 3.27
Y 0.0000 0.0000 0.0000  2 Cl 2.49
Pt 0.5000 0.5000 0.5000  8 Sr 4.11
Cl 0.0000 0.0000 0.5000  2 Y 2.49


VASP calculation (PBE) on an optimized crystal structure of LaAgIr2.

Output
* space-group type: P4/mmm
* density: 13.8 g/cm3
* volume: 18.97 Å³ per atom
* relative energy among the computed polymorphs: 0.0 meV/atom

Lattice parameters (Å, degrees): 4.2456 4.2456 4.2104 90.00 90.00 90.00
Closest atoms and distances in Å follow each position.
Atoms (fractional coordinates):
La 0.0000 0.0000 0.0000  8 Ir 2.99, 4 Ag 3.00
Ag 0.5000 0.5000 0.0000  8 Ir 2.99, 4 La 3.00
Ir 0.0000 0.5000 0.5000  4 La 2.99, 4 Ag 2.99, 4 Ir 3.00
Ir 0.5000 0.0000 0.5000  4 La 2.99, 4 Ag 2.99, 4 Ir 3.00


VASP calculation (PBE) on an optimized crystal structure of Tb2PuSc.

Output
* space-group type: R3m
* density: 8.7 g/cm3
* volume: 28.96 Å³ per atom
* relative energy among the computed polymorphs: 5.7 meV/atom

Lattice parameters (Å, degrees): 11.3030 11.3030 11.3030 17.65 17.65 17.65
Closest atoms and distances in Å follow each position.
Atoms (fractional coordinates):
Tb 0.0000 0.0000 0.0000  3 Sc 3.38, 6 Tb 3.47, 3 Pu 3.49
Tb 0.1626 0.1626 0.1626  3 Sc 3.36, 6 Tb 3.47, 3 Pu 3.48
Pu 0.5812 0.5812 0.5812  6 Pu 3.47, 6 Tb 3.48-3.49
Sc 0.4150 0.4150 0.4150  6 Tb 3.36-3.38, 6 Sc 3.47


VASP calculation (PBE) on an optimized crystal structure of Ca3PdN.

Output
* space-group type: P2_1/m
* density: 3.6 g/cm3
* volume: 22.28 Å³ per atom
* formation energy from raw total energies: -3.12 eV per formula unit

Lattice parameters (Å, degrees): 4.8075 4.8755 9.5037 90.00 90.15 90.00
Closest atoms and distances in Å follow each position.
Atoms (fractional coordinates):
Ca 0.0008 0.2500 0.1180  3 N 2.45-2.46
Ca 0.0028 0.7500 0.3862  1 N 2.33
Ca 0.4991 0.2500 0.8249  2 N 2.42-2.43
Ca 0.5009 0.7500 0.1751  2 N 2.42-2.43
Ca 0.9972 0.2500 0.6138  1 N 2.33
Ca 0.9992 0.7500 0.8820  3 N 2.45-2.46
Pd 0.4977 0.2500 0.4126  2 Pd 2.95, 2 Ca 3.07-3.08
Pd 0.5023 0.7500 0.5874  2 Pd 2.95, 2 Ca 3.07-3.08
N 0.9998 0.2500 0.8591  6 Ca 2.33-2.46
N 0.0002 0.7500 0.1409  6 Ca 2.33-2.46


VASP calculation (PBE) on an optimized crystal structure of CrCu2Au2.

Output
* space-group type: I4/mmm
* density: 11.5 g/cm3
* volume: 16.53 Å³ per atom
* relative energy among the computed polymorphs: 0.0 meV/atom

Lattice parameters (Å, degrees): 7.3078 7.3078 7.3078 152.58 152.58 39.17
Closest atoms and distances in Å follow each position.
Atoms (fractional coordinates):
Cr 0.0000 0.0000 0.0000  8 Au 2.83
Cu 0.2500 0.7500 0.5000  4 Cu 2.45, 4 Au 2.67
Cu 0.7500 0.2500 0.5000  4 Cu 2.45, 4 Au 2.67
Au 0.3974 0.3974 0.0000  4 Cu 2.67, 1 Au 2.83, 4 Cr 2.83
Au 0.6026 0.6026 0.0000  4 Cu 2.67, 1 Au 2.83, 4 Cr 2.83


VASP calculation (PBE) on an optimized crystal structure of Ca3EuRh.

Output
* space-group type: Pm-3m
* density: 3.5 g/cm3
* volume: 35.30 Å³ per atom
* E_tot: -4.917 eV per atom

Lattice parameters (Å, degrees): 5.6095 5.6095 5.6095 90.00 90.00 90.00
Closest atoms and distances in Å follow each position.
Atoms (fractional coordinates):
Ca 0.0000 0.0000 0.5000  2 Rh 2.80
Ca 0.0000 0.5000 0.0000  2 Rh 2.80
Ca 0.5000 0.0000 0.0000  2 Rh 2.80
Eu 0.5000 0.5000 0.5000  12 Ca 3.97
Rh 0.0000 0.0000 0.0000  6 Ca 2.80


VASP calculation (PBE) on an optimized crystal structure of LiAc2CdRu.

Output
* space-group type: P2_1/m
* density: 7.8 g/cm3
* volume: 28.79 Å³ per atom
* E_tot: -4.228 eV per atom

Lattice parameters (Å, degrees): 8.4592 4.1927 8.5672 90.00 108.67 90.00
Closest atoms and distances in Å follow each position.
Atoms (fractional coordinates):
Li 0.1561 0.2500 0.0735  3 Cd 2.91-3.01, 1 Ru 2.92
Li 0.8439 0.7500 0.9265  3 Cd 2.91-3.01, 1 Ru 2.92
Ac 0.1657 0.7500 0.4018  2 Ru 2.98
Ac 0.4790 0.2500 0.7857  3 Ru 2.92-3.21
Ac 0.5210 0.7500 0.2143  3 Ru 2.92-3.21
Ac 0.8343 0.2500 0.5982  2 Ru 2.98
Cd 0.1614 0.7500 0.8391  3 Li 2.91-3.01
Cd 0.8386 0.2500 0.1609  3 Li 2.91-3.01
Ru 0.4144 0.2500 0.3959  2 Ru 2.83, 4 Ac 2.92-2.98, 1 Li 2.92
Ru 0.5856 0.7500 0.6041  2 Ru 2.83, 4 Ac 2.92-2.98, 1 Li 2.92


> Among the records above, which one has the lowest volume?

CrCu2Au2


> Among the records above, which one has the lowest density?

Ca3EuRh


> Look up the volume of the second one.

39.09 Å³ per atom


Repeat the third record exactly.
VASP calculation (PBE) on an optimized crystal structure of Tb8NdC4.

Output
* space-group type: C2/m
* density: 8.0 g/cm3
* volume: 23.50 Å³ per atom
* E_tot: -6.209 eV per atom

Lattice parameters (Å, degrees): 9.2734 9.2734 12.5161 131.18 131.18 22.52
Closest atoms and distances in Å follow each position.
Atoms (fractional coordinates):
Tb 0.0411 0.0411 0.2314  3 C 2.51-2.58
Tb 0.2935 0.2935 0.4356  3 C 2.49-2.55
Tb 0.3352 0.3352 0.1514  3 C 2.49-2.50
Tb 0.3612 0.3612 0.9025  3 C 2.51-2.55
Tb 0.6388 0.6388 0.0975  3 C 2.51-2.55
Tb 0.6648 0.6648 0.8486  3 C 2.49-2.50
Tb 0.7065 0.7065 0.5644  3 C 2.49-2.55
Tb 0.9589 0.9589 0.7686  3 C 2.51-2.58
Nd 0.0000 0.0000 0.5000  2 Nd 3.62, 10 Tb 3.71-3.90
C 0.1495 0.1495 0.9692  6 Tb 2.49-2.58
C 0.3327 0.3327 0.6734  6 Tb 2.49-2.55
C 0.6673 0.6673 0.3266  6 Tb 2.49-2.55
C 0.8505 0.8505 0.0308  6 Tb 2.49-2.58